1.
Material: TbCeCdPd
Method: DFT, PBE-GGA
State: optimized geometry

Cell lengths 5.1973, 5.1973, 5.1973 Å; angles 60.00, 60.00, 60.00 degrees
Closest atoms and distances in Å follow each position.
Fractional coordinates of all 4 atoms:
Tb1 0.5000 0.5000 0.5000  4 Pd 3.18, 4 Cd 3.18
Pd1 0.7500 0.7500 0.7500  4 Tb 3.18, 4 Ce 3.18
Ce1 0.0000 0.0000 0.0000  4 Cd 3.18, 4 Pd 3.18
Cd1 0.2500 0.2500 0.2500  4 Tb 3.18, 4 Ce 3.18

Computed properties:
**Space-group type**: No. 216
**Energy**: -4.58 eV/atom


2.
Material: CeZnCdPd
Method: DFT, PBE-GGA
State: optimized geometry

Cell lengths 4.8849, 4.8849, 4.8849 Å; angles 60.00, 60.00, 60.00 degrees
Closest atoms and distances in Å follow each position.
Fractional coordinates of all 4 atoms:
Zn1 0.0000 0.0000 0.0000  4 Cd 2.99, 4 Ce 2.99
Pd1 0.5000 0.5000 0.5000  4 Ce 2.99, 4 Cd 2.99
Ce1 0.2500 0.2500 0.2500  4 Zn 2.99, 4 Pd 2.99
Cd1 0.7500 0.7500 0.7500  4 Zn 2.99, 4 Pd 2.99

Computed properties:
**Space-group type**: No. 216
**Energy**: -3.74 eV/atom


3.
Material: CePm2Cd
Method: DFT, PBE-GGA
State: optimized geometry

Cell lengths 3.4733, 3.4733, 12.3632 Å; angles 81.93, 81.93, 60.00 degrees
Closest atoms and distances in Å follow each position.
Fractional coordinates of all 4 atoms:
Cd1 0.0000 0.0000 0.0000  2 Pm 3.27, 6 Cd 3.47
Ce1 0.5000 0.5000 0.5000  6 Pm 3.47, 6 Ce 3.47
Pm1 0.0894 0.0894 0.7319  1 Cd 3.27, 3 Ce 3.47, 6 Pm 3.47
Pm2 0.9106 0.9106 0.2681  1 Cd 3.27, 3 Ce 3.47, 6 Pm 3.47

Computed properties:
**Space-group type**: No. 166
**E above lowest polymorph**: 0.296 eV/atom


4.
Material: CePm2Cd8
Method: DFT, PBE-GGA
State: optimized geometry

Cell lengths 5.2262, 7.1400, 8.8468 Å; angles 113.79, 107.21, 90.00 degrees
Closest atoms and distances in Å follow each position.
Fractional coordinates of all 11 atoms:
Cd1 0.6518 0.8689 0.3037  1 Ce 3.08, 3 Pm 3.09-3.18, 4 Cd 3.10-3.30
Cd2 0.3484 0.5652 0.6966  1 Ce 3.08, 3 Pm 3.09-3.18, 4 Cd 3.10-3.30
Cd3 0.1582 0.1583 0.3164  8 Cd 3.18-3.30, 2 Pm 3.51-3.52
Cd4 0.0000 0.2879 0.0000  3 Cd 3.03-3.18, 2 Pm 3.26, 2 Ce 3.32
Cd5 0.8418 0.8417 0.6836  8 Cd 3.18-3.30, 2 Pm 3.51-3.52
Cd6 0.6516 0.4348 0.3034  1 Ce 3.08, 3 Pm 3.09-3.18, 4 Cd 3.10-3.30
Cd7 0.3482 0.1311 0.6963  1 Ce 3.08, 3 Pm 3.09-3.18, 4 Cd 3.10-3.30
Cd8 0.0000 0.7121 0.0000  3 Cd 3.03-3.18, 2 Pm 3.26, 2 Ce 3.32
Ce1 0.5000 0.0000 0.0000  8 Cd 3.08-3.32
Pm1 0.1883 0.6882 0.3765  8 Cd 3.09-3.26
Pm2 0.8117 0.3118 0.6235  8 Cd 3.09-3.26

Computed properties:
**Space-group type**: No. 71
**Energy**: -2.24 eV/atom


5.
Material: CePm4Cd5
Method: DFT, PBE-GGA
State: optimized geometry

Cell lengths 3.8259, 3.8259, 19.2073 Å; angles 90.00, 90.00, 90.00 degrees
Closest atoms and distances in Å follow each position.
Fractional coordinates of all 10 atoms:
Ce1 0.0000 0.0000 0.0000  8 Cd 3.35
Pm1 0.0000 0.0000 0.2013  8 Cd 3.30-3.31
Pm2 0.0000 0.0000 0.4003  8 Cd 3.31
Pm3 0.0000 0.0000 0.5997  8 Cd 3.31
Pm4 0.0000 0.0000 0.7987  8 Cd 3.30-3.31
Cd1 0.5000 0.5000 0.1025  4 Pm 3.30, 4 Ce 3.35
Cd2 0.5000 0.5000 0.3008  8 Pm 3.31
Cd3 0.5000 0.5000 0.5000  8 Pm 3.31
Cd4 0.5000 0.5000 0.6992  8 Pm 3.31
Cd5 0.5000 0.5000 0.8975  4 Pm 3.30, 4 Ce 3.35

Computed properties:
**Space-group type**: No. 123
**Energy**: -3.23 eV/atom


6.
Material: CePmCd4
Method: DFT, PBE-GGA
State: optimized geometry

Cell lengths 3.3224, 6.1020, 8.8540 Å; angles 90.00, 90.00, 122.97 degrees
Closest atoms and distances in Å follow each position.
Fractional coordinates of all 6 atoms:
Ce1 0.5013 0.4973 0.9981  2 Ce 3.32, 12 Cd 3.39
Pm1 0.0013 0.9973 0.4981  2 Pm 3.32, 12 Cd 3.38-3.39
Cd1 0.5012 0.9973 0.1655  3 Cd 2.95-2.96
Cd2 0.5015 0.9973 0.8308  3 Cd 2.95-2.96
Cd3 0.0011 0.4973 0.6640  3 Cd 2.94-2.96
Cd4 0.0014 0.4973 0.3322  3 Cd 2.94-2.95

Computed properties:
**Space-group type**: No. 47
**E above lowest polymorph**: 0.000 eV/atom